Compound: Er2Ga3Au5
Source: Alexandria
Functional: PBE-GGA
Structure: optimized geometry

Lattice parameters (Å, degrees): 12.5875 12.5875 7.0809 90.00 90.00 159.59
Closest atoms and distances in Å follow each position.
Sites, in units of the cell vectors:
1 Er 0.0178 0.9822 0.5000  8 Au 3.06-3.36, 6 Ga 3.07-3.29
2 Er 0.3245 0.6755 0.4894  9 Au 3.11-3.39, 5 Ga 3.12-3.40
3 Er 0.6755 0.3245 0.9894  9 Au 3.11-3.39, 5 Ga 3.12-3.40
4 Er 0.9822 0.0178 0.0000  8 Au 3.06-3.36, 6 Ga 3.07-3.29
5 Ga 0.1036 0.8964 0.8123  4 Au 2.57-2.70
6 Ga 0.2742 0.7258 0.9622  7 Au 2.57-2.78
7 Ga 0.4488 0.5512 0.6930  5 Au 2.60-2.74
8 Ga 0.5512 0.4488 0.1930  5 Au 2.60-2.74
9 Ga 0.7258 0.2742 0.4622  7 Au 2.57-2.78
10 Ga 0.8964 0.1036 0.3123  4 Au 2.57-2.70
11 Au 0.1050 0.8950 0.1938  3 Ga 2.60-2.70, 1 Au 2.78
12 Au 0.1999 0.8001 0.6780  4 Ga 2.57-2.78
13 Au 0.2154 0.7846 0.2613  3 Ga 2.57-2.66, 1 Au 2.78
14 Au 0.3810 0.6190 0.9883  2 Ga 2.65-2.68, 1 Au 2.85
15 Au 0.4512 0.5488 0.3066  4 Ga 2.61-2.74, 1 Au 2.85
16 Au 0.5488 0.4512 0.8066  4 Ga 2.61-2.74, 1 Au 2.85
17 Au 0.6190 0.3810 0.4883  2 Ga 2.65-2.68, 1 Au 2.85
18 Au 0.7846 0.2154 0.7613  3 Ga 2.57-2.66, 1 Au 2.78
19 Au 0.8001 0.1999 0.1780  4 Ga 2.57-2.78
20 Au 0.8950 0.1050 0.6938  3 Ga 2.60-2.70, 1 Au 2.78

Properties
The value obtained for the density is 12.98 Mg/m³. Its formation energy is -0.581 eV per atom. The value obtained for the excess energy over the best structure of this formula in the dataset is 0 meV/atom.

***

Compound: Er2GaAu
Source: Alexandria
Functional: PBE-GGA
Structure: optimized geometry

Lattice parameters (Å, degrees): 3.5161 3.5161 7.3161 90.00 90.00 90.00
Closest atoms and distances in Å follow each position.
Sites, in units of the cell vectors:
1 Er 0.0000 0.0000 0.2475  4 Au 3.08, 4 Ga 3.10
2 Er 0.0000 0.0000 0.7525  4 Au 3.08, 4 Ga 3.10
3 Ga 0.5000 0.5000 0.5000  8 Er 3.10
4 Au 0.5000 0.5000 0.0000  8 Er 3.08

Properties
The value obtained for the density is 11.04 Mg/m³. Its formation energy is -0.729 eV per atom.

***

Compound: Er2Ga7Au12
Source: Alexandria
Functional: PBE-GGA
Structure: optimized geometry

Lattice parameters (Å, degrees): 10.7618 10.7618 4.0110 90.00 90.00 120.00
Closest atoms and distances in Å follow each position.
Sites, in units of the cell vectors:
1 Er 0.3333 0.6667 0.2478  6 Au 3.10-3.18, 6 Ga 3.31-3.40
2 Er 0.6667 0.3333 0.7522  6 Au 3.10-3.18, 6 Ga 3.31-3.40
3 Ga 0.0000 0.0000 0.5000  6 Au 2.64
4 Ga 0.0995 0.6966 0.7297  7 Au 2.53-2.80
5 Ga 0.3034 0.4029 0.7297  7 Au 2.53-2.80
6 Ga 0.4029 0.0995 0.2703  7 Au 2.53-2.80
7 Ga 0.5971 0.9005 0.7297  7 Au 2.53-2.80
8 Ga 0.6966 0.5971 0.2703  7 Au 2.53-2.80
9 Ga 0.9005 0.3034 0.2703  7 Au 2.53-2.80
10 Au 0.0947 0.4593 0.7626  4 Ga 2.53-2.80
11 Au 0.1279 0.2580 0.2276  4 Ga 2.64-2.73
12 Au 0.1301 0.8721 0.2276  4 Ga 2.64-2.73
13 Au 0.2580 0.1301 0.7724  4 Ga 2.64-2.73
14 Au 0.3646 0.9053 0.7626  4 Ga 2.53-2.80
15 Au 0.4593 0.3646 0.2374  4 Ga 2.53-2.80
16 Au 0.5407 0.6354 0.7626  4 Ga 2.53-2.80
17 Au 0.6354 0.0947 0.2374  4 Ga 2.53-2.80
18 Au 0.7420 0.8699 0.2276  4 Ga 2.64-2.73
19 Au 0.8699 0.1279 0.7724  4 Ga 2.64-2.73
20 Au 0.8721 0.7420 0.7724  4 Ga 2.64-2.73
21 Au 0.9053 0.5407 0.2374  4 Ga 2.53-2.80

Properties
The value obtained for the density is 13.15 Mg/m³. Its formation energy is -0.345 eV per atom.

***

Compound: Er2Ga9Au
Source: Alexandria
Functional: PBE-GGA
Structure: optimized geometry

Lattice parameters (Å, degrees): 4.2769 4.2769 12.4054 90.00 90.00 90.00
Closest atoms and distances in Å follow each position.
Sites, in units of the cell vectors:
1 Er 0.0000 0.0000 0.1719  12 Ga 3.02-3.06
2 Er 0.0000 0.0000 0.8281  12 Ga 3.02-3.06
3 Ga 0.0000 0.5000 0.0000  8 Ga 2.93-3.02, 4 Er 3.02
4 Ga 0.0000 0.5000 0.3478  2 Au 2.85, 8 Ga 2.85-3.15, 2 Er 3.06
5 Ga 0.0000 0.5000 0.6522  8 Ga 2.85-3.15, 2 Au 2.85, 2 Er 3.06
6 Ga 0.5000 0.0000 0.0000  8 Ga 2.93-3.02, 4 Er 3.02
7 Ga 0.5000 0.0000 0.3478  2 Au 2.85, 8 Ga 2.85-3.15, 2 Er 3.06
8 Ga 0.5000 0.0000 0.6522  8 Ga 2.85-3.15, 2 Au 2.85, 2 Er 3.06
9 Ga 0.5000 0.5000 0.1617  8 Ga 2.93-3.15, 4 Er 3.03
10 Ga 0.5000 0.5000 0.5000  8 Ga 2.85, 4 Au 3.02
11 Ga 0.5000 0.5000 0.8383  8 Ga 2.93-3.15, 4 Er 3.03
12 Au 0.0000 0.0000 0.5000  12 Ga 2.85-3.02

Properties
The value obtained for the density is 8.48 Mg/m³. Its formation energy is -0.339 eV per atom.